# RbFeF3 | the Alexandria database | GGA-PBEsol | relaxed
# E_form (uncorrected) (eV per atom): -2.27
data_RbFeF3
_symmetry_space_group_name_H-M 'P m -3 m'
_symmetry_Int_Tables_number 221
_symmetry_space_group_name_Hall '-P 4 2 3'
_cell_length_a 4.127
_cell_length_b 4.127
_cell_length_c 4.127
_cell_angle_alpha 90.00
_cell_angle_beta 90.00
_cell_angle_gamma 90.00
loop_
_atom_site_label
_atom_site_type_symbol
_atom_site_fract_x
_atom_site_fract_y
_atom_site_fract_z
Rb1 Rb 0.000 0.000 0.000
Fe1 Fe 0.500 0.500 0.500
F1 F 0.000 0.500 0.500



# Rb2FeF4 | the Alexandria database | GGA-PBEsol | relaxed
# E_form (uncorrected) (eV per atom): -2.40
data_Rb2FeF4
_symmetry_space_group_name_H-M 'I 4/m m m'
_symmetry_Int_Tables_number 139
_symmetry_space_group_name_Hall '-I 4 2'
_cell_length_a 4.134
_cell_length_b 4.134
_cell_length_c 13.668
_cell_angle_alpha 90.00
_cell_angle_beta 90.00
_cell_angle_gamma 90.00
loop_
_atom_site_label
_atom_site_type_symbol
_atom_site_fract_x
_atom_site_fract_y
_atom_site_fract_z
Rb1 Rb 0.000 0.000 0.146
Fe1 Fe 0.000 0.000 0.500
F1 F 0.000 0.000 0.350
F2 F 0.000 0.500 0.000



# Rb2TlFeF6 | the Alexandria database | GGA-PBEsol | relaxed
# E_form (uncorrected) (eV per atom): -2.27
data_Rb2TlFeF6
_symmetry_space_group_name_H-M 'F m -3 m'
_symmetry_Int_Tables_number 225
_symmetry_space_group_name_Hall '-F 4 2 3'
_cell_length_a 8.838
_cell_length_b 8.838
_cell_length_c 8.838
_cell_angle_alpha 90.00
_cell_angle_beta 90.00
_cell_angle_gamma 90.00
loop_
_atom_site_label
_atom_site_type_symbol
_atom_site_fract_x
_atom_site_fract_y
_atom_site_fract_z
Rb1 Rb 0.250 0.250 0.250
Tl1 Tl 0.000 0.000 0.000
Fe1 Fe 0.000 0.000 0.500
F1 F 0.000 0.000 0.289



# ZrFeRe2F | the Alexandria database | GGA-PBEsol | relaxed
# E_form (uncorrected) (eV per atom): 1.02
data_ZrFeRe2F
_symmetry_space_group_name_H-M 'P 4/m m m'
_symmetry_Int_Tables_number 123
_symmetry_space_group_name_Hall '-P 4 2'
_cell_length_a 4.298
_cell_length_b 4.298
_cell_length_c 4.944
_cell_angle_alpha 90.00
_cell_angle_beta 90.00
_cell_angle_gamma 90.00
loop_
_atom_site_label
_atom_site_type_symbol
_atom_site_fract_x
_atom_site_fract_y
_atom_site_fract_z
Zr1 Zr 0.000 0.000 0.000
Fe1 Fe 0.000 0.000 0.500
Re1 Re 0.000 0.500 0.500
F1 F 0.500 0.500 0.000



# FeRh3F | the Alexandria database | GGA-PBEsol | relaxed
# E_form (uncorrected) (eV per atom): 0.84
data_FeRh3F
_symmetry_space_group_name_H-M 'P m -3 m'
_symmetry_Int_Tables_number 221
_symmetry_space_group_name_Hall '-P 4 2 3'
_cell_length_a 4.127
_cell_length_b 4.127
_cell_length_c 4.127
_cell_angle_alpha 90.00
_cell_angle_beta 90.00
_cell_angle_gamma 90.00
loop_
_atom_site_label
_atom_site_type_symbol
_atom_site_fract_x
_atom_site_fract_y
_atom_site_fract_z
Fe1 Fe 0.000 0.000 0.000
Rh1 Rh 0.000 0.500 0.500
F1 F 0.500 0.500 0.500



# FeSF3 | the Alexandria database | GGA-PBEsol | relaxed
# E_form (uncorrected) (eV per atom): -0.04
data_FeSF3
_symmetry_space_group_name_H-M 'P m -3 m'
_symmetry_Int_Tables_number 221
_symmetry_space_group_name_Hall '-P 4 2 3'
_cell_length_a 4.190
_cell_length_b 4.190
_cell_length_c 4.190
_cell_angle_alpha 90.00
_cell_angle_beta 90.00
_cell_angle_gamma 90.00
loop_
_atom_site_label
_atom_site_type_symbol
_atom_site_fract_x
_atom_site_fract_y
_atom_site_fract_z
Fe1 Fe 0.000 0.000 0.000
S1 S 0.500 0.500 0.500
F1 F 0.000 0.500 0.500



# Sr2FeSbF | the Alexandria database | GGA-PBEsol | relaxed
# E_form (uncorrected) (eV per atom): -0.59
data_Sr2FeSbF
_symmetry_space_group_name_H-M 'P 4/m m m'
_symmetry_Int_Tables_number 123
_symmetry_space_group_name_Hall '-P 4 2'
_cell_length_a 4.743
_cell_length_b 4.743
_cell_length_c 5.621
_cell_angle_alpha 90.00
_cell_angle_beta 90.00
_cell_angle_gamma 90.00
loop_
_atom_site_label
_atom_site_type_symbol
_atom_site_fract_x
_atom_site_fract_y
_atom_site_fract_z
Sr1 Sr 0.000 0.500 0.000
Fe1 Fe 0.000 0.000 0.500
Sb1 Sb 0.500 0.500 0.500
F1 F 0.500 0.500 0.000



# FeSeF3 | the Alexandria database | GGA-PBEsol | relaxed
# E_form (uncorrected) (eV per atom): -0.17
data_FeSeF3
_symmetry_space_group_name_H-M 'P m -3 m'
_symmetry_Int_Tables_number 221
_symmetry_space_group_name_Hall '-P 4 2 3'
_cell_length_a 4.330
_cell_length_b 4.330
_cell_length_c 4.330
_cell_angle_alpha 90.00
_cell_angle_beta 90.00
_cell_angle_gamma 90.00
loop_
_atom_site_label
_atom_site_type_symbol
_atom_site_fract_x
_atom_site_fract_y
_atom_site_fract_z
Fe1 Fe 0.000 0.000 0.000
Se1 Se 0.500 0.500 0.500
F1 F 0.000 0.500 0.500